The following is a DFT calculation (PBE-GGA) of crystalline NdCuH8Rh2 at its relaxed geometry.

Computed properties:
symmetry: R-3 (148)
magnetization: 0.0 μB per formula unit
E: -0.3235 Ry/atom
volume: 8.84 Å³/atom

Cell: 6.1119 6.1119 6.1119 Å, 45.56 45.56 45.56°
Atoms (fractional coordinates):
Nd  0.0000  0.0000  0.0000
Cu  0.5000  0.5000  0.5000
H  0.1300  0.4078  0.8230
H  0.1770  0.8700  0.5922
H  0.3086  0.3086  0.3086
H  0.4078  0.8230  0.1300
H  0.5922  0.1770  0.8700
H  0.6914  0.6914  0.6914
H  0.8230  0.1300  0.4078
H  0.8700  0.5922  0.1770
Rh  0.2057  0.2057  0.2057
Rh  0.7943  0.7943  0.7943